Na2Tl4Pd: optimized geometry, PBE-GGA.

Summary:
- excess energy over the best structure of this formula in the dataset (meV per atom) = 119
- density (g/cm3) = 7.091
- DOS(E_F) (states/eV/f.u.) = 5.2

Cell and atoms, written as CIF:
```
data_Na2Tl4Pd
_space_group_name_H-M_alt 'I 4/m m m'
_space_group_IT_number 139
_space_group_name_Hall '-I 4 2'
_cell_length_a 5.319
_cell_length_b 5.319
_cell_length_c 16.055
_cell_angle_alpha 90.00
_cell_angle_beta 90.00
_cell_angle_gamma 90.00
loop_
_atom_site_label
_atom_site_type_symbol
_atom_site_fract_x
_atom_site_fract_y
_atom_site_fract_z
_atom_site_occupancy
Na1 Na 0.000 0.000 0.131 1
Tl1 Tl 0.000 0.000 0.324 1
Tl2 Tl 0.000 0.500 0.000 1
Pd1 Pd 0.000 0.000 0.500 1
```